(1)
K2NaSr2 | PBE | relaxed

POSCAR file:
```
K2NaSr2
1.0
9.202 0.000 0.000
0.000 9.202 0.000
0.000 0.000 6.878
Na K Sr
2 4 4
Direct
0.500 0.500 0.000 Na
0.000 0.000 0.000 Na
0.641 0.141 0.000 K
0.359 0.859 0.000 K
0.859 0.641 0.000 K
0.141 0.359 0.000 K
0.174 0.674 0.500 Sr
0.326 0.174 0.500 Sr
0.826 0.326 0.500 Sr
0.674 0.826 0.500 Sr
```

Calculated values
The calculation puts the distance to the lowest polymorph of the same formula at 0 meV/atom. The calculated formation energy is 0.187 eV/atom.

---

(2)
K12Na3Sr | PBE | relaxed

POSCAR file:
```
K12Na3Sr
1.0
6.315 0.000 0.000
0.000 6.315 0.000
0.000 0.000 25.509
K Na Sr
12 3 1
Direct
0.000 0.500 0.623 K
0.500 0.000 0.133 K
0.000 0.500 0.377 K
0.500 0.000 0.377 K
0.500 0.000 0.867 K
0.500 0.500 0.500 K
0.500 0.000 0.623 K
0.500 0.500 0.744 K
0.500 0.500 0.000 K
0.000 0.500 0.133 K
0.000 0.500 0.867 K
0.500 0.500 0.256 K
0.000 0.000 0.254 Na
0.000 0.000 0.746 Na
0.000 0.000 0.500 Na
0.000 0.000 0.000 Sr
```

Calculated values
The calculated formation energy is 0.042 eV/atom.

---

(3)
K2Na2Sr3 | PBE | relaxed

POSCAR file:
```
K2Na2Sr3
1.0
4.304 0.000 -0.519
0.000 4.293 0.000
0.306 0.000 20.630
Na K Sr
2 2 3
Direct
0.867 0.000 0.733 Na
0.133 0.000 0.267 Na
0.299 0.500 0.597 K
0.701 0.500 0.403 K
0.428 0.500 0.855 Sr
0.572 0.500 0.145 Sr
0.000 0.000 0.000 Sr
```

Calculated values
The calculated formation energy is 0.025 eV/atom.

---

(4)
KNa4Sr | PBE | relaxed

POSCAR file:
```
KNa4Sr
1.0
7.260 0.000 0.000
3.630 6.287 0.000
3.630 2.096 5.928
K Na Sr
1 4 1
Direct
0.000 0.000 0.000 K
0.624 0.624 0.624 Na
0.624 0.624 0.127 Na
0.624 0.127 0.624 Na
0.127 0.624 0.624 Na
0.250 0.250 0.250 Sr
```

Calculated values
The calculated formation energy is 0.035 eV/atom.

---

(5)
K2Na2Sr | PBE | relaxed

POSCAR file:
```
K2Na2Sr
1.0
-8.605 -2.467 6.258
-3.854 -6.521 -7.870
2.270 -3.462 1.756
Na K Sr
4 4 2
Direct
0.875 0.625 0.000 Na
0.125 0.375 0.000 Na
0.625 0.125 0.000 Na
0.375 0.875 0.000 Na
0.328 0.172 0.500 K
0.828 0.328 0.500 K
0.172 0.672 0.500 K
0.672 0.828 0.500 K
0.000 0.000 0.000 Sr
0.500 0.500 0.000 Sr
```

Calculated values
The calculation puts the distance to the lowest polymorph of the same formula at 0 meV/atom. The calculated formation energy is 0.078 eV/atom.

---

(6)
K3NaSr | PBE | relaxed

POSCAR file:
```
K3NaSr
1.0
-3.026 3.115 5.462
2.594 -4.904 4.233
5.728 3.866 0.968
K Na Sr
3 1 1
Direct
0.000 0.000 0.500 K
0.500 0.000 0.000 K
0.000 0.500 0.000 K
0.000 0.000 0.000 Na
0.500 0.500 0.500 Sr
```

Calculated values
The calculation puts the distance to the lowest polymorph of the same formula at 0 meV/atom. The calculated formation energy is 0.218 eV/atom.

---

(7)
K4NaSr2 | PBE | relaxed

POSCAR file:
```
K4NaSr2
1.0
6.873 0.000 -0.968
-0.136 6.871 -0.968
-1.899 -1.937 11.396
Sr K Na
2 4 1
Direct
0.386 0.386 0.773 Sr
0.614 0.614 0.227 Sr
0.820 0.820 0.640 K
0.500 0.000 0.000 K
0.180 0.180 0.360 K
0.000 0.500 0.000 K
0.000 0.000 0.000 Na
```

Calculated values
The calculated formation energy is 0.266 eV/atom.

---

(8)
KNaSr4 | PBE | relaxed

POSCAR file:
```
KNaSr4
1.0
8.059 0.000 0.000
4.029 6.979 0.000
4.029 2.326 6.580
Sr Na K
4 1 1
Direct
0.124 0.625 0.625 Sr
0.625 0.124 0.625 Sr
0.625 0.625 0.124 Sr
0.625 0.625 0.625 Sr
0.000 0.000 0.000 Na
0.250 0.250 0.250 K
```

Calculated values
The calculated formation energy is 0.192 eV/atom.

---

(9)
KNa6Sr | PBE | relaxed

POSCAR file:
```
KNa6Sr
1.0
7.039 0.000 0.000
0.000 7.039 0.000
0.000 0.000 7.039
Na K Sr
6 1 1
Direct
0.500 0.247 0.000 Na
0.753 0.000 0.500 Na
0.000 0.500 0.753 Na
0.247 0.000 0.500 Na
0.000 0.500 0.247 Na
0.500 0.753 0.000 Na
0.500 0.500 0.500 K
0.000 0.000 0.000 Sr
```

Calculated values
The calculation puts the distance to the lowest polymorph of the same formula at 15 meV/atom. The calculated formation energy is 0.062 eV/atom.

---

(10)
K2Na2Sr | PBE | relaxed

POSCAR file:
```
K2Na2Sr
1.0
-1.545 -3.907 10.319
-9.383 -5.018 -3.305
2.225 -3.506 -0.994
K Na Sr
4 4 2
Direct
0.631 0.131 0.000 K
0.869 0.631 0.000 K
0.131 0.369 0.000 K
0.369 0.869 0.000 K
0.172 0.672 0.500 Na
0.828 0.328 0.500 Na
0.328 0.172 0.500 Na
0.672 0.828 0.500 Na
0.000 0.000 0.000 Sr
0.500 0.500 0.000 Sr
```

Calculated values
The calculation puts the distance to the lowest polymorph of the same formula at 20 meV/atom. The calculated formation energy is 0.099 eV/atom.

---

(11)
KNa14Sr | PBE | relaxed

POSCAR file:
```
KNa14Sr
1.0
8.086 -0.018 0.000
0.016 8.086 0.000
0.000 0.000 9.866
Na Sr K
14 1 1
Direct
0.375 0.875 0.500 Na
0.375 0.375 0.000 Na
0.375 0.875 0.000 Na
0.624 0.624 0.774 Na
0.875 0.875 0.000 Na
0.126 0.624 0.226 Na
0.875 0.375 0.000 Na
0.126 0.126 0.226 Na
0.624 0.126 0.774 Na
0.126 0.624 0.774 Na
0.875 0.375 0.500 Na
0.624 0.126 0.226 Na
0.624 0.624 0.226 Na
0.126 0.126 0.774 Na
0.375 0.375 0.500 Sr
0.875 0.875 0.500 K
```

Calculated values
The calculated formation energy is 0.026 eV/atom.

---

(12)
K2NaSr2 | PBE | relaxed

POSCAR file:
```
K2NaSr2
1.0
-4.398 6.721 -5.251
-7.133 -6.137 -1.881
-3.369 2.192 5.627
K Na Sr
4 2 4
Direct
0.337 0.163 0.500 K
0.163 0.663 0.500 K
0.663 0.837 0.500 K
0.837 0.337 0.500 K
0.000 0.000 0.000 Na
0.500 0.500 0.000 Na
0.651 0.151 0.000 Sr
0.849 0.651 0.000 Sr
0.151 0.349 0.000 Sr
0.349 0.849 0.000 Sr
```

Calculated values
The calculation puts the distance to the lowest polymorph of the same formula at 17 meV/atom. The calculated formation energy is 0.204 eV/atom.